Run w
# CdTc2Sb PBE-GGA relaxed
# Spin magnetization (μB/atom): 0.0002
# Theoretical density (Mg/m³): 10.23
data_CdTc2Sb
_cell_length_a 5.091
_cell_length_b 5.091
_cell_length_c 5.091
_cell_angle_alpha 132.75
_cell_angle_beta 132.75
_cell_angle_gamma 69.05
_space_group_name_H-M_alt 'P 1'
_space_group_IT_number 1
_space_group_name_Hall 'P 1'
loop_
_atom_site_label
_atom_site_type_symbol
_atom_site_fract_x
_atom_site_fract_y
_atom_site_fract_z
Cd1 Cd 0.500 0.500 0.000
Sb1 Sb 0.750 0.250 0.500
Tc1 Tc 0.000 0.000 0.000
Tc2 Tc 0.250 0.750 0.500

---

Run x
# CdTc2Sb PBE-GGA relaxed
# Spin magnetization (μB/atom): 0.0003
# Theoretical density (Mg/m³): 10.19
data_CdTc2Sb
_cell_length_a 3.249
_cell_length_b 3.249
_cell_length_c 6.641
_cell_angle_alpha 90.00
_cell_angle_beta 90.00
_cell_angle_gamma 90.00
_space_group_name_H-M_alt 'P 1'
_space_group_IT_number 1
_space_group_name_Hall 'P 1'
loop_
_atom_site_label
_atom_site_type_symbol
_atom_site_fract_x
_atom_site_fract_y
_atom_site_fract_z
Cd1 Cd 0.500 0.500 0.250
Sb1 Sb 0.500 0.500 0.750
Tc1 Tc 0.000 0.000 0.972
Tc2 Tc 0.000 0.000 0.528

---

Run y
# CdTc2Sb PBE-GGA relaxed
# Spin magnetization (μB/atom): 0.0009
# Theoretical density (Mg/m³): 9.93
data_CdTc2Sb
_cell_length_a 4.654
_cell_length_b 4.654
_cell_length_c 5.371
_cell_angle_alpha 78.46
_cell_angle_beta 78.46
_cell_angle_gamma 39.25
_space_group_name_H-M_alt 'P 1'
_space_group_IT_number 1
_space_group_name_Hall 'P 1'
loop_
_atom_site_label
_atom_site_type_symbol
_atom_site_fract_x
_atom_site_fract_y
_atom_site_fract_z
Cd1 Cd 0.750 0.750 0.750
Sb1 Sb 0.250 0.250 0.250
Tc1 Tc 0.991 0.991 0.028
Tc2 Tc 0.509 0.509 0.472

---

So which one wins? Going from most stable to least: run x, run y, run w.